No. 1
GeHSeN2 | PBE | optimized geometry

Summary:
Volume   15.38 A^3/atom
Space group   P4/mmm
Polymorph energy (0 for the lowest one)   0.000 eV per atom

a b c (Å): 3.603 3.603 5.924
angles (deg): 90.00 90.00 90.00
Element x y z (fractional)
Ge 0.000 0.000 0.000
H 0.500 0.500 0.500
Se 0.000 0.000 0.500
N 0.000 0.500 0.000
N 0.500 0.000 0.000

=====

No. 2
Sr2GeHN | PBE | optimized geometry

Summary:
Volume   28.03 A^3/atom
Space group   P4/mmm
Uncorrected energy   -3.48 eV/atom

a b c (Å): 5.925 5.925 3.992
angles (deg): 90.00 90.00 90.00
Element x y z (fractional)
Sr 0.000 0.500 0.000
Sr 0.500 0.000 0.000
Ge 0.000 0.000 0.000
H 0.500 0.500 0.500
N 0.000 0.000 0.500

=====

No. 3
GeTeHN2 | PBE | optimized geometry

Summary:
Volume   12.60 A^3/atom
Space group   P4/mmm
Polymorph energy (0 for the lowest one)   0.419 eV per atom

a b c (Å): 4.269 4.269 3.457
angles (deg): 90.00 90.00 90.00
Element x y z (fractional)
Ge 0.000 0.000 0.000
Te 0.500 0.500 0.000
H 0.500 0.500 0.500
N 0.000 0.500 0.500
N 0.500 0.000 0.500

=====

No. 4
GeTeHN2 | PBE | optimized geometry

Summary:
Volume   17.33 A^3/atom
Space group   P4/mmm
Polymorph energy (0 for the lowest one)   0.000 eV per atom

a b c (Å): 3.594 3.594 6.709
angles (deg): 90.00 90.00 90.00
Element x y z (fractional)
Ge 0.000 0.000 0.000
Te 0.000 0.000 0.500
H 0.500 0.500 0.500
N 0.000 0.500 0.000
N 0.500 0.000 0.000

=====

No. 5
TiGeH2N | PBE | optimized geometry

Summary:
Volume   11.02 A^3/atom
Space group   P4/mmm
Uncorrected energy   -4.54 eV/atom

a b c (Å): 3.466 3.466 4.585
angles (deg): 90.00 90.00 90.00
Element x y z (fractional)
Ti 0.000 0.000 0.000
Ge 0.500 0.500 0.000
H 0.000 0.500 0.500
H 0.500 0.000 0.500
N 0.500 0.500 0.500

=====

No. 6
NaGeH6 | PBE | optimized geometry

Summary:
Volume   8.95 A^3/atom
Space group   C2/m
Uncorrected energy   -2.96 eV/atom

a b c (Å): 4.053 4.053 4.787
angles (deg): 106.38 106.38 77.68
Element x y z (fractional)
Na 0.000 0.000 0.000
Ge 0.500 0.500 0.500
H 0.103 0.581 0.274
H 0.319 0.319 0.683
H 0.419 0.897 0.726
H 0.581 0.103 0.274
H 0.681 0.681 0.317
H 0.897 0.419 0.726

=====

No. 7
Na12Ge3H5 | PBE | optimized geometry

Summary:
Volume   22.76 A^3/atom
Space group   Ia-3d
Uncorrected energy   -2.29 eV/atom

a b c (Å): 13.324 13.324 13.324
angles (deg): 109.47 109.47 109.47
Element x y z (fractional)
Na 0.020 0.204 0.116
Na 0.020 0.316 0.904
Na 0.088 0.704 0.684
Na 0.088 0.884 0.404
Na 0.096 0.616 0.412
Na 0.096 0.980 0.684
Na 0.116 0.020 0.204
Na 0.116 0.596 0.912
Na 0.184 0.204 0.588
Na 0.184 0.480 0.596
Na 0.204 0.116 0.020
Na 0.204 0.588 0.184
Na 0.296 0.316 0.912
Na 0.296 0.480 0.384
Na 0.316 0.904 0.020
Na 0.316 0.912 0.296
Na 0.384 0.296 0.480
Na 0.384 0.588 0.904
Na 0.404 0.088 0.884
Na 0.404 0.816 0.520
Na 0.412 0.096 0.616
Na 0.412 0.816 0.796
Na 0.480 0.384 0.296
Na 0.480 0.596 0.184
Na 0.520 0.404 0.816
Na 0.520 0.616 0.704
Na 0.588 0.184 0.204
Na 0.588 0.904 0.384
Na 0.596 0.184 0.480
Na 0.596 0.912 0.116
Na 0.616 0.412 0.096
Na 0.616 0.704 0.520
Na 0.684 0.088 0.704
Na 0.684 0.096 0.980
Na 0.704 0.520 0.616
Na 0.704 0.684 0.088
Na 0.796 0.412 0.816
Na 0.796 0.884 0.980
Na 0.816 0.520 0.404
Na 0.816 0.796 0.412
Na 0.884 0.404 0.088
Na 0.884 0.980 0.796
Na 0.904 0.020 0.316
Na 0.904 0.384 0.588
Na 0.912 0.116 0.596
Na 0.912 0.296 0.316
Na 0.980 0.684 0.096
Na 0.980 0.796 0.884
Ge 0.125 0.250 0.375
Ge 0.125 0.375 0.750
Ge 0.250 0.375 0.125
Ge 0.250 0.875 0.625
Ge 0.375 0.125 0.250
Ge 0.375 0.750 0.125
Ge 0.625 0.250 0.875
Ge 0.625 0.875 0.750
Ge 0.750 0.125 0.375
Ge 0.750 0.625 0.875
Ge 0.875 0.625 0.250
Ge 0.875 0.750 0.625
H 0.000 0.000 0.000
H 0.000 0.000 0.500
H 0.000 0.500 0.000
H 0.000 0.500 0.500
H 0.125 0.750 0.875
H 0.125 0.875 0.250
H 0.250 0.125 0.875
H 0.250 0.625 0.375
H 0.375 0.250 0.625
H 0.375 0.625 0.750
H 0.500 0.000 0.000
H 0.500 0.000 0.500
H 0.500 0.500 0.000
H 0.500 0.500 0.500
H 0.625 0.375 0.250
H 0.625 0.750 0.375
H 0.750 0.375 0.625
H 0.750 0.875 0.125
H 0.875 0.125 0.750
H 0.875 0.250 0.125

=====

No. 8
NaGe3H | PBE | optimized geometry

Summary:
Volume   26.75 A^3/atom
Space group   Pm-3m
Polymorph energy (0 for the lowest one)   1.171 eV per atom

a b c (Å): 5.114 5.114 5.114
angles (deg): 90.00 90.00 90.00
Element x y z (fractional)
Na 0.000 0.000 0.000
Ge 0.000 0.000 0.500
Ge 0.000 0.500 0.000
Ge 0.500 0.000 0.000
H 0.500 0.500 0.500

=====

No. 9
Na2GeH | PBE | optimized geometry

Summary:
Volume   21.01 A^3/atom
Space group   Fm-3m
Polymorph energy (0 for the lowest one)   0.335 eV per atom

a b c (Å): 4.917 4.917 4.917
angles (deg): 60.00 60.00 60.00
Element x y z (fractional)
Na 0.250 0.250 0.250
Na 0.750 0.750 0.750
Ge 0.000 0.000 0.000
H 0.500 0.500 0.500

=====

No. 10
Na3GeH | PBE | optimized geometry

Summary:
Volume   20.24 A^3/atom
Space group   Pm-3m
Uncorrected energy   -2.37 eV/atom

a b c (Å): 4.660 4.660 4.660
angles (deg): 90.00 90.00 90.00
Element x y z (fractional)
Na 0.000 0.000 0.500
Na 0.000 0.500 0.000
Na 0.500 0.000 0.000
Ge 0.500 0.500 0.500
H 0.000 0.000 0.000

=====

No. 11
NaGe3H | PBE | optimized geometry

Summary:
Volume   16.77 A^3/atom
Space group   Pm-3m
Polymorph energy (0 for the lowest one)   0.000 eV per atom

a b c (Å): 4.377 4.377 4.377
angles (deg): 90.00 90.00 90.00
Element x y z (fractional)
Na 0.000 0.000 0.000
Ge 0.000 0.500 0.500
Ge 0.500 0.000 0.500
Ge 0.500 0.500 0.000
H 0.500 0.500 0.500

=====

No. 12
Na3Ge5H12 | PBE | optimized geometry

Summary:
Volume   12.51 A^3/atom
Space group   Ia-3d
Uncorrected energy   -3.06 eV/atom

a b c (Å): 10.913 10.913 10.913
angles (deg): 109.47 109.47 109.47
Element x y z (fractional)
Na 0.125 0.250 0.375
Na 0.125 0.375 0.750
Na 0.250 0.375 0.125
Na 0.250 0.875 0.625
Na 0.375 0.125 0.250
Na 0.375 0.750 0.125
Na 0.625 0.250 0.875
Na 0.625 0.875 0.750
Na 0.750 0.125 0.375
Na 0.750 0.625 0.875
Na 0.875 0.625 0.250
Na 0.875 0.750 0.625
Ge 0.000 0.000 0.000
Ge 0.000 0.000 0.500
Ge 0.000 0.500 0.000
Ge 0.000 0.500 0.500
Ge 0.125 0.750 0.875
Ge 0.125 0.875 0.250
Ge 0.250 0.125 0.875
Ge 0.250 0.625 0.375
Ge 0.375 0.250 0.625
Ge 0.375 0.625 0.750
Ge 0.500 0.000 0.000
Ge 0.500 0.000 0.500
Ge 0.500 0.500 0.000
Ge 0.500 0.500 0.500
Ge 0.625 0.375 0.250
Ge 0.625 0.750 0.375
Ge 0.750 0.375 0.625
Ge 0.750 0.875 0.125
Ge 0.875 0.125 0.750
Ge 0.875 0.250 0.125
H 0.005 0.178 0.088
H 0.005 0.327 0.917
H 0.083 0.588 0.410
H 0.083 0.995 0.673
H 0.088 0.005 0.178
H 0.088 0.583 0.910
H 0.090 0.678 0.673
H 0.090 0.912 0.417
H 0.173 0.178 0.590
H 0.173 0.495 0.583
H 0.178 0.088 0.005
H 0.178 0.590 0.173
H 0.322 0.327 0.910
H 0.322 0.495 0.412
H 0.327 0.910 0.322
H 0.327 0.917 0.005
H 0.410 0.083 0.588
H 0.410 0.827 0.822
H 0.412 0.322 0.495
H 0.412 0.590 0.917
H 0.417 0.090 0.912
H 0.417 0.827 0.505
H 0.495 0.412 0.322
H 0.495 0.583 0.173
H 0.505 0.417 0.827
H 0.505 0.588 0.678
H 0.583 0.173 0.495
H 0.583 0.910 0.088
H 0.588 0.410 0.083
H 0.588 0.678 0.505
H 0.590 0.173 0.178
H 0.590 0.917 0.412
H 0.673 0.083 0.995
H 0.673 0.090 0.678
H 0.678 0.505 0.588
H 0.678 0.673 0.090
H 0.822 0.410 0.827
H 0.822 0.912 0.995
H 0.827 0.505 0.417
H 0.827 0.822 0.410
H 0.910 0.088 0.583
H 0.910 0.322 0.327
H 0.912 0.417 0.090
H 0.912 0.995 0.822
H 0.917 0.005 0.327
H 0.917 0.412 0.590
H 0.995 0.673 0.083
H 0.995 0.822 0.912

=====

No. 13
NaGe2H2 | PBE | optimized geometry

Summary:
Volume   14.80 A^3/atom
Space group   P4/mbm
Polymorph energy (0 for the lowest one)   0.054 eV per atom

a b c (Å): 7.131 7.131 2.910
angles (deg): 90.00 90.00 90.00
Element x y z (fractional)
Na 0.000 0.000 0.000
Na 0.500 0.500 0.000
Ge 0.127 0.373 0.500
Ge 0.373 0.873 0.500
Ge 0.627 0.127 0.500
Ge 0.873 0.627 0.500
H 0.096 0.596 0.000
H 0.404 0.096 0.000
H 0.596 0.904 0.000
H 0.904 0.404 0.000

=====

No. 14
NaGe2H2 | PBE | optimized geometry

Summary:
Volume   16.15 A^3/atom
Space group   I4/mmm
Polymorph energy (0 for the lowest one)   0.000 eV per atom

a b c (Å): 6.095 6.095 6.095
angles (deg): 143.20 143.20 53.02
Element x y z (fractional)
Na 0.000 0.000 0.000
Ge 0.310 0.310 0.000
Ge 0.690 0.690 0.000
H 0.250 0.750 0.500
H 0.750 0.250 0.500

=====

No. 15
Na2GeH | PBE | optimized geometry

Summary:
Volume   20.91 A^3/atom
Space group   I-42d
Polymorph energy (0 for the lowest one)   0.000 eV per atom

a b c (Å): 6.078 6.078 6.078
angles (deg): 115.81 115.81 97.43
Element x y z (fractional)
Na 0.007 0.625 0.882
Na 0.375 0.257 0.382
Na 0.743 0.125 0.118
Na 0.875 0.993 0.618
Ge 0.250 0.750 0.500
Ge 0.500 0.500 0.000
H 0.000 0.000 0.000
H 0.750 0.250 0.500

=====

No. 16
NaGeH2O4 | PBE | optimized geometry

Summary:
Volume   10.46 A^3/atom
Space group   I222
Uncorrected energy   -5.15 eV/atom

a b c (Å): 4.913 4.913 4.913
angles (deg): 128.25 103.53 98.46
Element x y z (fractional)
Na 0.000 0.000 0.000
Ge 0.500 0.500 0.000
H 0.320 0.820 0.500
H 0.680 0.180 0.500
O 0.201 0.051 0.604
O 0.447 0.597 0.396
O 0.553 0.949 0.150
O 0.799 0.403 0.850